No. 1
Here is SbS2I after structural relaxation from Alexandria. Energies are from PBE.

The energy is -38.880 eV/cell. The calculation puts the magnetic moment at 0.00 μB/f.u. The relative energy among the computed polymorphs is 24.8 kJ/mol of atoms. As for the density of states at the Fermi level: 5.63 states/eV/cell. For the uncorrected formation energy, the calculation gives 0.242 eV per atom.

a = 6.0869 Å, b = 6.0869 Å, c = 10.1699 Å
α = 90.00°, β = 90.00°, γ = 120.00°
Last column: nearest neighbours and their distance in Å.
Space group P6_222 (No. 180)
Inequivalent atoms, fractional coordinates:
Sb (0.0000, 0.5000, 0.1667) (multiplicity 3)  4 S 2.74
S (0.1060, 0.2120, 0.0000) (multiplicity 6)  1 S 2.24
I (0.0000, 0.5000, 0.6667) (multiplicity 3)  4 S 3.24, 4 Sb 3.48

---

No. 2
Here is CaIrAu2 after structural relaxation from Alexandria. Energies are from PBE.

The energy is -17.674 eV/cell. The value obtained for the calculated formation energy is -0.064 eV/atom. The calculation puts the magnetic moment at 0.29 μB/f.u. As for the density of states at the Fermi level: 4.21 states/eV/cell.

a = 2.9559 Å, b = 4.2924 Å, c = 5.9167 Å
α = 90.00°, β = 90.00°, γ = 90.00°
Last column: nearest neighbours and their distance in Å.
Space group Pmm2 (No. 25)
Inequivalent atoms, fractional coordinates:
Ca (0.0000, 0.0000, 0.0000) (multiplicity 1)  6 Au 2.87-3.05, 2 Ca 2.96, 4 Ir 3.02
Ir (0.5000, 0.5000, 0.2571) (multiplicity 1)  6 Au 2.84-3.08, 2 Ir 2.96, 4 Ca 3.02
Au (0.0000, 0.0000, 0.4845) (multiplicity 1)  2 Ca 2.87-3.05, 4 Ir 2.93, 6 Au 2.96-3.00
Au (0.5000, 0.5000, 0.7363) (multiplicity 1)  2 Ir 2.84-3.08, 6 Au 2.96-3.00, 4 Ca 3.04

---

- Look up the energy of the first one.
  -38.880 eV/cell

---

- What is the formula in the second record?
  CaIrAu2

---

- Among the records above, which one has the lowest energy?
  SbS2I

---

What did the first record say?
Here is SbS2I after structural relaxation from Alexandria. Energies are from PBE.

The energy is -38.880 eV/cell. The calculation puts the magnetic moment at 0.00 μB/f.u. The relative energy among the computed polymorphs is 24.8 kJ/mol of atoms. As for the density of states at the Fermi level: 5.63 states/eV/cell. For the uncorrected formation energy, the calculation gives 0.242 eV per atom.

a = 6.0869 Å, b = 6.0869 Å, c = 10.1699 Å
α = 90.00°, β = 90.00°, γ = 120.00°
Last column: nearest neighbours and their distance in Å.
Space group P6_222 (No. 180)
Inequivalent atoms, fractional coordinates:
Sb (0.0000, 0.5000, 0.1667) (multiplicity 3)  4 S 2.74
S (0.1060, 0.2120, 0.0000) (multiplicity 6)  1 S 2.24
I (0.0000, 0.5000, 0.6667) (multiplicity 3)  4 S 3.24, 4 Sb 3.48